TlSeSBr2: relaxed, GGA-PBE.

Cell lengths 5.624, 5.624, 5.568 Å; angles 90.00, 90.00, 90.00 degrees
Fractional coordinates of all 5 atoms:
Tl 0.000 0.000 0.000
S 0.500 0.500 0.500
Br 0.500 0.000 0.000
Br 0.000 0.500 0.000
Se 0.000 0.000 0.500

Space-group type   P4/mmm (123)
N(E_F)   3.40 states/eV per cell
Calculated density   4.5 g/cm3
Relative energy among the computed polymorphs   54.9 kJ per mole of atoms


La4PPbSe2: relaxed, GGA-PBE.

Cell lengths 4.413, 7.620, 7.670 Å; angles 70.45, 90.00, 90.00 degrees
Fractional coordinates of all 8 atoms:
La 0.000 0.752 0.737
La 0.000 0.248 0.263
La 0.500 0.258 0.736
La 0.500 0.742 0.264
Pb 0.500 0.500 0.000
Se 0.500 0.000 0.500
Se 0.000 0.000 0.000
P 0.000 0.500 0.500

Space-group type   P2/m (10)
Electronic total energy   -6.01 eV/atom
N(E_F)   2.58 states/eV per cell
Calculated density   6.5 g/cm3


CsScBr2: relaxed, GGA-PBE.

Cell lengths 6.845, 6.845, 9.153 Å; angles 68.04, 68.04, 90.00 degrees
Fractional coordinates of all 8 atoms:
Br 0.375 0.510 0.750
Br 0.260 0.625 0.250
Br 0.490 0.125 0.250
Br 0.875 0.740 0.750
Sc 0.500 0.500 0.000
Sc 0.250 0.750 0.500
Cs 0.000 0.000 0.000
Cs 0.750 0.250 0.500

Space-group type   I-42d (122)
N(E_F)   7.63 states/eV per cell
Calculated density   3.1 g/cm3
Relative energy among the computed polymorphs   2.1 kJ per mole of atoms


BaYSc2: relaxed, GGA-PBE.

Cell lengths 3.878, 3.878, 9.104 Å; angles 90.00, 90.00, 90.00 degrees
Fractional coordinates of all 4 atoms:
Sc 0.500 0.500 0.229
Sc 0.000 0.000 0.064
Y 0.000 0.000 0.436
Ba 0.500 0.500 0.771

Space-group type   P4mm (99)
N(E_F)   6.54 states/eV per cell
Calculated density   3.8 g/cm3
Relative energy among the computed polymorphs   0.0 kJ per mole of atoms
Calculated formation energy   193 meV/atom